Entry 1:
First-principles (GGA-PBE) data for a relaxed PmSi2AgPd5 crystal, as listed in Alexandria.

a b c (Å): 4.140 4.140 9.055
angles (deg): 90.00 90.00 90.00
Fractional coordinates of all 9 atoms:
Pm: 0.000 0.000 0.500
Si: 0.500 0.500 0.127
Si: 0.500 0.500 0.873
Ag: 0.000 0.000 0.000
Pd: 0.000 0.500 0.258
Pd: 0.500 0.000 0.258
Pd: 0.000 0.500 0.742
Pd: 0.500 0.000 0.742
Pd: 0.500 0.500 0.500

Output
Volume in Å³/f.u.: 155.2
Space group: P4/mmm (123)
Total moment in μB/f.u.: 0.000
E in Ry/atom: -0.4055

=====

Entry 2:
First-principles (GGA-PBE) data for a relaxed PmSmAgPd crystal, as listed in Alexandria.

a b c (Å): 3.861 4.778 5.807
angles (deg): 90.00 109.42 90.00
Fractional coordinates of all 4 atoms:
Pm: 0.860 0.500 0.720
Sm: 0.138 0.000 0.276
Ag: 0.419 0.000 0.839
Pd: 0.583 0.500 0.165

Output
Volume in Å³/f.u.: 101.0
Energy relative to the lowest polymorph listed for this composition in meV per atom: 0.0
Space group: Amm2 (38)
Total moment in μB/f.u.: 0.000

=====

Entry 3:
First-principles (GGA-PBE) data for a relaxed PmSmAgPd crystal, as listed in Alexandria.

a b c (Å): 5.169 5.169 5.169
angles (deg): 60.00 60.00 60.00
Fractional coordinates of all 4 atoms:
Pd: 0.750 0.750 0.750
Ag: 0.250 0.250 0.250
Sm: 0.500 0.500 0.500
Pm: 0.000 0.000 0.000

Output
Volume in Å³/f.u.: 97.7
Energy relative to the lowest polymorph listed for this composition in meV per atom: 24.6
Space group: F-43m (216)
Total moment in μB/f.u.: 0.000

=====

Entry 4:
First-principles (GGA-PBE) data for a relaxed Pm2AgSn4Pd3 crystal, as listed in Alexandria.

a b c (Å): 4.542 4.542 11.071
angles (deg): 90.00 90.00 90.00
Fractional coordinates of all 10 atoms:
Pm: 0.500 0.000 0.256
Pm: 0.000 0.500 0.744
Ag: 0.500 0.500 0.500
Sn: 0.500 0.500 0.000
Sn: 0.000 0.000 0.000
Sn: 0.500 0.000 0.637
Sn: 0.000 0.500 0.363
Pd: 0.000 0.000 0.500
Pd: 0.500 0.000 0.871
Pd: 0.000 0.500 0.129

Output
Volume in Å³/f.u.: 228.4
Space group: P-4m2 (115)
Total moment in μB/f.u.: 0.000
E in Ry/atom: -0.3716

=====

Entry 5:
First-principles (GGA-PBE) data for a relaxed PmAgSnPd crystal, as listed in Alexandria.

a b c (Å): 4.948 4.948 4.948
angles (deg): 60.00 60.00 60.00
Fractional coordinates of all 4 atoms:
Pd: 0.750 0.750 0.750
Sn: 0.000 0.000 0.000
Ag: 0.250 0.250 0.250
Pm: 0.500 0.500 0.500

Output
Volume in Å³/f.u.: 85.7
Space group: F-43m (216)
Total moment in μB/f.u.: 0.000
E in Ry/atom: -0.3531

=====

Entry 6:
First-principles (GGA-PBE) data for a relaxed TbPmAgPd crystal, as listed in Alexandria.

a b c (Å): 3.817 4.763 5.752
angles (deg): 90.00 109.38 90.00
Fractional coordinates of all 4 atoms:
Tb: 0.138 0.000 0.275
Pm: 0.859 0.500 0.718
Ag: 0.420 0.000 0.839
Pd: 0.584 0.500 0.168

Output
Volume in Å³/f.u.: 98.7
Energy relative to the lowest polymorph listed for this composition in meV per atom: 0.0
Space group: Amm2 (38)
Total moment in μB/f.u.: 0.000